# 1
Ce2SmAu: optimized geometry, PBE-GGA.

Properties
Crystal system = tetragonal
Total DFT energy (no corrections) = -0.190 hartree per atom
Energy relative to the lowest polymorph listed for this composition = 0.0012 eV per atom
SG = P4/mmm (123)
Calculated formation energy = -20 kJ per mole of atoms

Lattice parameters (Å, degrees): 4.300 4.300 5.584 90.00 90.00 90.00
Fractional coordinates of all 4 atoms:
Ce: 0.000 0.500 0.000
Ce: 0.500 0.000 0.000
Sm: 0.000 0.000 0.500
Au: 0.500 0.500 0.500

# 2
CeSm2Au3: optimized geometry, PBE-GGA.

Properties
Crystal system = orthorhombic
Total DFT energy (no corrections) = -0.181 hartree per atom
Energy relative to the lowest polymorph listed for this composition = 0.0061 eV per atom
SG = Cmmm (65)
Calculated formation energy = -70 kJ per mole of atoms

Lattice parameters (Å, degrees): 8.293 8.293 3.644 90.00 90.00 143.25
Fractional coordinates of all 6 atoms:
Ce: 0.000 0.000 0.000
Sm: 0.333 0.667 0.000
Sm: 0.667 0.333 0.000
Au: 0.169 0.831 0.500
Au: 0.500 0.500 0.500
Au: 0.831 0.169 0.500

> Which value of energy relative to the lowest polymorph listed for this composition does entry 1 give?

0.0012 eV per atom